w | Computed, not measured: NbInS2N after structural relaxation at the PBE level of DFT.

a = 5.0033 Å, b = 5.0033 Å, c = 4.0305 Å
α = 90.00°, β = 90.00°, γ = 90.00°
Space group P4/mmm (No. 123)
Inequivalent atoms, fractional coordinates:
Nb 0.0000 0.0000 0.0000 (multiplicity 1)
In 0.5000 0.5000 0.5000 (multiplicity 1)
S 0.0000 0.5000 0.5000 (multiplicity 2)
N 0.5000 0.5000 0.0000 (multiplicity 1)

Volume (Å³/atom): 20.18
Fermi-level density of states (states/eV/cell): 5.050
Density (g/cm3): 4.70
M_tot (μB/f.u.): 1.527

x | Computed, not measured: NbInS2N after structural relaxation at the PBE level of DFT.

a = 5.0077 Å, b = 5.0077 Å, c = 3.9330 Å
α = 90.00°, β = 90.00°, γ = 90.00°
Space group P4/mmm (No. 123)
Inequivalent atoms, fractional coordinates:
Nb 0.0000 0.0000 0.0000 (multiplicity 1)
In 0.5000 0.5000 0.5000 (multiplicity 1)
S 0.0000 0.5000 0.0000 (multiplicity 2)
N 0.0000 0.0000 0.5000 (multiplicity 1)

Volume (Å³/atom): 19.73
Fermi-level density of states (states/eV/cell): 3.158
Density (g/cm3): 4.81
M_tot (μB/f.u.): 0.000

Least stable of them? w.

w | Computed, not measured: NbInSN2 after structural relaxation at the PBE level of DFT.

a = 4.0931 Å, b = 4.0931 Å, c = 5.1110 Å
α = 90.00°, β = 90.00°, γ = 90.00°
Space group P4/mmm (No. 123)
Inequivalent atoms, fractional coordinates:
Nb 0.0000 0.0000 0.0000 (multiplicity 1)
In 0.5000 0.5000 0.5000 (multiplicity 1)
S 0.5000 0.5000 0.0000 (multiplicity 1)
N 0.0000 0.5000 0.5000 (multiplicity 2)

Volume (Å³/atom): 17.13
Fermi-level density of states (states/eV/cell): 3.137
Density (g/cm3): 5.19
M_tot (μB/f.u.): 0.461

x | Computed, not measured: NbInSN2 after structural relaxation at the PBE level of DFT.

a = 4.0431 Å, b = 4.0431 Å, c = 5.2467 Å
α = 90.00°, β = 90.00°, γ = 90.00°
Space group P4/mmm (No. 123)
Inequivalent atoms, fractional coordinates:
Nb 0.0000 0.0000 0.0000 (multiplicity 1)
In 0.5000 0.5000 0.5000 (multiplicity 1)
S 0.0000 0.0000 0.5000 (multiplicity 1)
N 0.0000 0.5000 0.0000 (multiplicity 2)

Volume (Å³/atom): 17.15
Fermi-level density of states (states/eV/cell): 2.682
Density (g/cm3): 5.19
M_tot (μB/f.u.): 0.432

Least stable of them? w.

w | Computed, not measured: NbInTeN2 after structural relaxation at the PBE level of DFT.

a = 4.1597 Å, b = 4.1597 Å, c = 5.7461 Å
α = 90.00°, β = 90.00°, γ = 90.00°
Space group P4/mmm (No. 123)
Inequivalent atoms, fractional coordinates:
Nb 0.0000 0.0000 0.0000 (multiplicity 1)
In 0.5000 0.5000 0.5000 (multiplicity 1)
Te 0.5000 0.5000 0.0000 (multiplicity 1)
N 0.0000 0.5000 0.5000 (multiplicity 2)

Volume (Å³/atom): 19.89
Fermi-level density of states (states/eV/cell): 6.627
Density (g/cm3): 6.07
M_tot (μB/f.u.): 0.000

x | Computed, not measured: NbInTeN2 after structural relaxation at the PBE level of DFT.

a = 4.2258 Å, b = 4.2258 Å, c = 5.7823 Å
α = 90.00°, β = 90.00°, γ = 90.00°
Space group P4/mmm (No. 123)
Inequivalent atoms, fractional coordinates:
Nb 0.0000 0.0000 0.0000 (multiplicity 1)
In 0.5000 0.5000 0.5000 (multiplicity 1)
Te 0.0000 0.0000 0.5000 (multiplicity 1)
N 0.0000 0.5000 0.0000 (multiplicity 2)

Volume (Å³/atom): 20.65
Fermi-level density of states (states/eV/cell): 2.304
Density (g/cm3): 5.84
M_tot (μB/f.u.): 0.791

Least stable of them? w.

w | Computed, not measured: NbV2InN after structural relaxation at the PBE level of DFT.

a = 4.0287 Å, b = 4.0287 Å, c = 4.3786 Å
α = 90.00°, β = 90.00°, γ = 90.00°
Space group P4/mmm (No. 123)
Inequivalent atoms, fractional coordinates:
Nb 0.0000 0.0000 0.0000 (multiplicity 1)
V 0.0000 0.5000 0.5000 (multiplicity 2)
In 0.5000 0.5000 0.0000 (multiplicity 1)
N 0.0000 0.0000 0.5000 (multiplicity 1)

Volume (Å³/atom): 14.21
Fermi-level density of states (states/eV/cell): 5.977
Density (g/cm3): 7.56
M_tot (μB/f.u.): 0.000

x | Computed, not measured: NbV2InN after structural relaxation at the PBE level of DFT.

a = 3.9361 Å, b = 3.9361 Å, c = 4.8647 Å
α = 90.00°, β = 90.00°, γ = 90.00°
Space group P4/mmm (No. 123)
Inequivalent atoms, fractional coordinates:
Nb 0.0000 0.0000 0.0000 (multiplicity 1)
V 0.0000 0.5000 0.5000 (multiplicity 2)
In 0.5000 0.5000 0.0000 (multiplicity 1)
N 0.5000 0.5000 0.5000 (multiplicity 1)

Volume (Å³/atom): 15.07
Fermi-level density of states (states/eV/cell): 6.632
Density (g/cm3): 7.13
M_tot (μB/f.u.): 0.000

Least stable of them? x.

w | Computed, not measured: InNi2N after structural relaxation at the PBE level of DFT.

a = 5.8769 Å, b = 5.8769 Å, c = 5.8769 Å
α = 90.00°, β = 90.00°, γ = 90.00°
Space group Fm-3m (No. 225)
Inequivalent atoms, fractional coordinates:
In 0.0000 0.0000 0.0000 (multiplicity 4)
Ni 0.2500 0.2500 0.2500 (multiplicity 8)
N 0.0000 0.0000 0.5000 (multiplicity 4)

Volume (Å³/atom): 12.69
Fermi-level density of states (states/eV/cell): 12.740
Density (g/cm3): 8.06
M_tot (μB/f.u.): 1.524

x | Computed, not measured: InNi2N after structural relaxation at the PBE level of DFT.

a = 4.6402 Å, b = 4.6402 Å, c = 11.0732 Å
α = 90.00°, β = 90.00°, γ = 90.00°
Space group I-42d (No. 122)
Inequivalent atoms, fractional coordinates:
In 0.0000 0.0000 0.0000 (multiplicity 4)
Ni 0.0612 0.2500 0.6250 (multiplicity 8)
N 0.0000 0.0000 0.5000 (multiplicity 4)

Volume (Å³/atom): 14.90
Fermi-level density of states (states/eV/cell): 16.896
Density (g/cm3): 6.86
M_tot (μB/f.u.): 0.000

Least stable of them? w.

w | Computed, not measured: InNiS2N after structural relaxation at the PBE level of DFT.

a = 4.8633 Å, b = 4.8633 Å, c = 3.5031 Å
α = 90.00°, β = 90.00°, γ = 90.00°
Space group P4/mmm (No. 123)
Inequivalent atoms, fractional coordinates:
In 0.0000 0.0000 0.0000 (multiplicity 1)
Ni 0.5000 0.5000 0.5000 (multiplicity 1)
S 0.0000 0.5000 0.5000 (multiplicity 2)
N 0.5000 0.5000 0.0000 (multiplicity 1)

Volume (Å³/atom): 16.57
Fermi-level density of states (states/eV/cell): 3.198
Density (g/cm3): 5.04
M_tot (μB/f.u.): 0.359

x | Computed, not measured: InNiS2N after structural relaxation at the PBE level of DFT.

a = 5.0381 Å, b = 5.0381 Å, c = 4.0266 Å
α = 90.00°, β = 90.00°, γ = 90.00°
Space group P4/mmm (No. 123)
Inequivalent atoms, fractional coordinates:
In 0.0000 0.0000 0.0000 (multiplicity 1)
Ni 0.5000 0.5000 0.5000 (multiplicity 1)
S 0.0000 0.5000 0.0000 (multiplicity 2)
N 0.0000 0.0000 0.5000 (multiplicity 1)

Volume (Å³/atom): 20.44
Fermi-level density of states (states/eV/cell): 9.677
Density (g/cm3): 4.09
M_tot (μB/f.u.): 1.664

Least stable of them? x.